The following is a PBE calculation of SmTmSc6 after structural relaxation, from Alexandria via LeMat-Bulk.

Unit cell a=4.6985 b=6.6772 c=6.6772 alpha=90.03 beta=90.00 gamma=90.00
Element x y z (fractional)
Sc 0.5000 0.0000 0.5000
Sc 0.0000 0.7514 0.2486
Sc 0.0000 0.7515 0.7515
Sc 0.0000 0.2485 0.2485
Sc 0.5000 0.5000 0.0000
Sc 0.0000 0.2486 0.7514
Tm 0.5000 0.0000 0.0000
Sm 0.5000 0.5000 0.5000

Density of states at the Fermi level = 15.27 states/eV/f.u.
Distance to the lowest polymorph of the same formula = 36 meV/atom
Energy of formation from the pure elements = 59.6 meV/atom



The following is a PBE calculation of Sm3TmSc2 after structural relaxation, from Alexandria via LeMat-Bulk.

Unit cell a=6.9965 b=6.0076 c=9.2192 alpha=89.37 beta=112.30 gamma=90.00
Element x y z (fractional)
Sm 0.9570 0.9139 0.6622
Sm 0.0430 0.0861 0.3378
Sm 0.3768 0.7500 0.0000
Sm 0.6232 0.2500 0.0000
Sm 0.2948 0.5861 0.3378
Sm 0.7052 0.4139 0.6622
Tm 0.1266 0.2500 0.0000
Tm 0.8734 0.7500 0.0000
Sc 0.7914 0.5813 0.3349
Sc 0.5434 0.0813 0.3349
Sc 0.2086 0.4187 0.6651
Sc 0.4566 0.9187 0.6651

Density of states at the Fermi level = 9.54 states/eV/f.u.
Distance to the lowest polymorph of the same formula = 0 meV/atom
Energy of formation from the pure elements = 54.2 meV/atom



The following is a PBE calculation of Sm2Tm3Sc after structural relaxation, from Alexandria via LeMat-Bulk.

Unit cell a=4.9323 b=9.9435 c=9.2546 alpha=122.49 beta=105.45 gamma=90.00
Element x y z (fractional)
Sm 0.3376 0.3376 0.6752
Sm 0.6624 0.1624 0.3248
Sm 0.3376 0.8376 0.6752
Sm 0.6624 0.6624 0.3248
Tm 0.8353 0.5853 0.6707
Tm 0.5000 0.2500 0.0000
Tm 0.1647 0.9147 0.3293
Tm 0.8353 0.0853 0.6707
Tm 0.5000 0.7500 0.0000
Tm 0.1647 0.4147 0.3293
Sc 0.0000 0.5000 0.0000
Sc 0.0000 0.0000 0.0000

Density of states at the Fermi level = 8.43 states/eV/f.u.
Distance to the lowest polymorph of the same formula = 0 meV/atom
Energy of formation from the pure elements = 38.2 meV/atom



The following is a PBE calculation of SmTm2Sc3 after structural relaxation, from Alexandria via LeMat-Bulk.

Unit cell a=3.4308 b=5.9368 c=16.5178 alpha=96.87 beta=90.00 gamma=90.00
Element x y z (fractional)
Tm 0.2500 0.7502 0.5001
Tm 0.7500 0.2498 0.4999
Tm 0.7500 0.0263 0.8328
Tm 0.2500 0.9737 0.1672
Sc 0.7500 0.7529 0.0010
Sc 0.2500 0.3607 0.3349
Sc 0.2500 0.1375 0.6661
Sc 0.7500 0.8625 0.3339
Sc 0.7500 0.6393 0.6651
Sc 0.2500 0.2471 0.9990
Sm 0.2500 0.5280 0.8323
Sm 0.7500 0.4720 0.1677

Density of states at the Fermi level = 9.69 states/eV/f.u.
Energy of formation from the pure elements = 61.9 meV/atom



The following is a PBE calculation of SmTm5Sc2 after structural relaxation, from Alexandria via LeMat-Bulk.

Unit cell a=6.8749 b=6.8743 c=6.9016 alpha=119.87 beta=119.88 gamma=90.00
Element x y z (fractional)
Tm 0.2223 0.7221 0.9443
Tm 0.7224 0.7223 0.4447
Tm 0.7221 0.7221 0.9443
Tm 0.7220 0.2223 0.9443
Tm 0.2223 0.2222 0.9443
Sc 0.2221 0.7221 0.4441
Sc 0.7221 0.2221 0.4442
Sm 0.2219 0.2219 0.4437

Density of states at the Fermi level = 13.92 states/eV/f.u.
Distance to the lowest polymorph of the same formula = 23 meV/atom
Energy of formation from the pure elements = 45.8 meV/atom



The following is a PBE calculation of Sm3Tm8Sc after structural relaxation, from Alexandria via LeMat-Bulk.

Unit cell a=8.2785 b=8.2785 c=8.2785 alpha=95.08 beta=117.11 gamma=117.11
Element x y z (fractional)
Tm 0.0000 0.2601 0.7941
Tm 0.4660 0.2059 0.2059
Tm 0.7478 0.1118 0.1118
Tm 0.5340 0.7399 0.7399
Tm 0.0000 0.8882 0.6360
Tm 0.0000 0.7941 0.2601
Tm 0.0000 0.6360 0.8882
Tm 0.2522 0.3640 0.3640
Sm 0.0000 0.5000 0.5000
Sm 0.5000 0.2500 0.7500
Sm 0.5000 0.7500 0.2500
Sc 0.0000 0.0000 0.0000

Density of states at the Fermi level = 18.54 states/eV/f.u.
Energy of formation from the pure elements = 621.7 meV/atom



The following is a PBE calculation of Sm2Tm5Sc2 after structural relaxation, from Alexandria via LeMat-Bulk.

Unit cell a=12.4416 b=5.8587 c=10.1946 alpha=106.70 beta=127.60 gamma=90.00
Element x y z (fractional)
Sm 0.2037 0.2352 0.5000
Sm 0.5000 0.3524 0.0000
Sm 0.7963 0.7352 0.5000
Sm 0.0000 0.8524 0.0000
Tm 0.8615 0.3520 0.0841
Tm 0.6657 0.8303 0.7151
Tm 0.9350 0.2712 0.5000
Tm 0.2773 0.7679 0.9159
Tm 0.3343 0.1152 0.2849
Tm 0.5494 0.3303 0.7151
Tm 0.0650 0.7712 0.5000
Tm 0.1385 0.2679 0.9159
Tm 0.7227 0.8520 0.0841
Tm 0.4506 0.6152 0.2849
Sc 0.4047 0.8103 0.7087
Sc 0.8040 0.3103 0.7087
Sc 0.5953 0.1015 0.2913
Sc 0.1960 0.6015 0.2913

Density of states at the Fermi level = 14.22 states/eV/f.u.
Distance to the lowest polymorph of the same formula = 150 meV/atom
Energy of formation from the pure elements = 192.5 meV/atom



The following is a PBE calculation of Sm6Tm8Sc after structural relaxation, from Alexandria via LeMat-Bulk.

Unit cell a=8.5755 b=8.5755 c=8.5755 alpha=63.09 beta=63.09 gamma=63.09
Element x y z (fractional)
Tm 0.2805 0.2518 0.8896
Tm 0.1104 0.7195 0.7482
Tm 0.5767 0.5767 0.5767
Tm 0.8896 0.2805 0.2518
Tm 0.4233 0.4233 0.4233
Tm 0.7195 0.7482 0.1104
Tm 0.7482 0.1104 0.7195
Tm 0.2518 0.8896 0.2805
Sm 0.5422 0.2222 0.1068
Sm 0.2222 0.1068 0.5422
Sm 0.8932 0.4578 0.7778
Sm 0.7778 0.8932 0.4578
Sm 0.1068 0.5422 0.2222
Sm 0.4578 0.7778 0.8932
Sc 0.0000 0.0000 0.0000

Density of states at the Fermi level = 22.36 states/eV/f.u.
Energy of formation from the pure elements = 118.1 meV/atom



The following is a PBE calculation of Sm3Tm4Sc5 after structural relaxation, from Alexandria via LeMat-Bulk.

Unit cell a=5.6748 b=8.1501 c=9.0234 alpha=101.26 beta=71.67 gamma=69.63
Element x y z (fractional)
Sm 0.0000 0.5000 0.5000
Sm 0.5351 0.6978 0.2321
Sm 0.4649 0.3022 0.7679
Sc 0.6392 0.9199 0.8018
Sc 0.8109 0.5230 0.8552
Sc 0.1891 0.4770 0.1448
Sc 0.5000 0.5000 0.5000
Sc 0.3608 0.0801 0.1982
Tm 0.1427 0.7722 0.9423
Tm 0.8573 0.2278 0.0577
Tm 0.8242 0.9715 0.3802
Tm 0.1758 0.0285 0.6198

Density of states at the Fermi level = 21.61 states/eV/f.u.
Energy of formation from the pure elements = 248.1 meV/atom



The following is a PBE calculation of Sm3Tm2Sc4 after structural relaxation, from Alexandria via LeMat-Bulk.

Unit cell a=4.8384 b=7.6999 c=7.6719 alpha=107.39 beta=108.38 gamma=90.00
Element x y z (fractional)
Tm 0.6670 0.0026 0.3341
Tm 0.3330 0.9974 0.6659
Sm 0.0000 0.0000 0.0000
Sm 0.8887 0.3401 0.7774
Sm 0.1113 0.6599 0.2226
Sc 0.5595 0.3379 0.1190
Sc 0.2211 0.3382 0.4422
Sc 0.7789 0.6618 0.5578
Sc 0.4405 0.6621 0.8810

Density of states at the Fermi level = 13.91 states/eV/f.u.
Energy of formation from the pure elements = 56.5 meV/atom



The following is a PBE calculation of Sm2Tm7Sc2 after structural relaxation, from Alexandria via LeMat-Bulk.

Unit cell a=8.3672 b=6.4434 c=6.4434 alpha=93.26 beta=79.26 gamma=79.26
Element x y z (fractional)
Sc 0.1595 0.6154 0.6154
Sc 0.8405 0.3846 0.3846
Tm 0.1849 0.1046 0.4706
Tm 0.8151 0.8954 0.5294
Tm 0.8151 0.5294 0.8954
Tm 0.0000 0.0000 0.0000
Tm 0.5826 0.1595 0.1595
Tm 0.1849 0.4706 0.1046
Tm 0.4174 0.8405 0.8405
Sm 0.5000 0.6843 0.3157
Sm 0.5000 0.3157 0.6843

Density of states at the Fermi level = 19.00 states/eV/f.u.
Distance to the lowest polymorph of the same formula = 0 meV/atom
Energy of formation from the pure elements = 115.9 meV/atom



The following is a PBE calculation of Sm4TmSc7 after structural relaxation, from Alexandria via LeMat-Bulk.

Unit cell a=5.5614 b=11.3116 c=6.3430 alpha=87.03 beta=64.00 gamma=75.77
Element x y z (fractional)
Sm 0.3045 0.2929 0.0981
Sm 0.6468 0.2251 0.4813
Sm 0.6955 0.7071 0.9019
Sm 0.3532 0.7749 0.5187
Sc 0.9680 0.3815 0.6825
Sc 0.3543 0.5140 0.7774
Sc 0.2073 0.0851 0.5003
Sc 0.5000 0.0000 0.0000
Sc 0.7927 0.9149 0.4997
Sc 0.6457 0.4860 0.2226
Sc 0.0320 0.6185 0.3175
Tm 0.0000 0.0000 0.0000

Density of states at the Fermi level = 21.96 states/eV/f.u.
Energy of formation from the pure elements = 275.0 meV/atom



Number 1: total moment 0.000 μB/atom. Number 2: total moment 0.000 μB/atom. Number 3: total moment 0.000 μB/atom. Number 4: total moment 0.000 μB/atom. Number 5: total moment 0.000 μB/atom. Number 6: total moment 0.000 μB/atom. Number 7: total moment 0.000 μB/atom. Number 8: total moment 0.000 μB/atom. Number 9: total moment 0.026 μB/atom. Number 10: total moment 0.000 μB/atom. Number 11: total moment 0.000 μB/atom. Number 12: total moment 0.038 μB/atom.